{
  "formula": "LiGa3Pb",
  "functional": "PBE-GGA",
  "state": "optimized geometry",
  "mass_density_g_cm3": 6.34,
  "sg": "No. 221",
  "relative_energy_ev_per_atom": 0.000,
  "cell": [[4.805, 0.000, 0.000], [0.000, 4.805, 0.000], [0.000, 0.000, 4.805]],
  "species": ["Li", "Ga", "Ga", "Ga", "Pb"],
  "fractional_positions": [[0.000, 0.000, 0.000], [0.000, 0.000, 0.500], [0.000, 0.500, 0.000], [0.500, 0.000, 0.000], [0.500, 0.500, 0.500]]
}

{
  "formula": "La3Nd6Tl",
  "functional": "PBE-GGA",
  "state": "optimized geometry",
  "mass_density_g_cm3": 6.99,
  "sg": "No. 36",
  "relative_energy_ev_per_atom": 0.041,
  "cell": [[6.690, -8.069, 0.000], [6.690, 8.069, 0.000], [0.000, 0.000, 6.545]],
  "species": ["La", "La", "La", "La", "La", "La", "Nd", "Nd", "Nd", "Nd", "Nd", "Nd", "Nd", "Nd", "Nd", "Nd", "Nd", "Nd", "Tl", "Tl"],
  "fractional_positions": [[0.142, 0.858, 0.500], [0.215, 0.393, 0.172], [0.393, 0.215, 0.672], [0.607, 0.785, 0.172], [0.785, 0.607, 0.672], [0.858, 0.142, 0.000], [0.068, 0.174, 0.493], [0.085, 0.472, 0.710], [0.174, 0.068, 0.993], [0.249, 0.751, 0.004], [0.454, 0.546, 0.838], [0.472, 0.085, 0.210], [0.528, 0.915, 0.710], [0.546, 0.454, 0.338], [0.751, 0.249, 0.504], [0.826, 0.932, 0.493], [0.915, 0.528, 0.210], [0.932, 0.826, 0.993], [0.339, 0.661, 0.449], [0.661, 0.339, 0.949]]
}

{
  "formula": "TlGa2NiBi",
  "functional": "PBE-GGA",
  "state": "optimized geometry",
  "mass_density_g_cm3": 8.50,
  "sg": "No. 123",
  "energy_ev_per_atom": -3.6109,
  "cell": [[4.677, 0.000, 0.000], [0.000, 4.677, 0.000], [0.000, 0.000, 5.459]],
  "species": ["Tl", "Ga", "Ga", "Ni", "Bi"],
  "fractional_positions": [[0.000, 0.000, 0.000], [0.000, 0.500, 0.500], [0.500, 0.000, 0.500], [0.500, 0.500, 0.500], [0.500, 0.500, 0.000]]
}

{
  "formula": "CaSi4Br",
  "functional": "PBE-GGA",
  "state": "optimized geometry",
  "e_form_raw_mev_per_atom": 39.9,
  "mass_density_g_cm3": 3.48,
  "sg": "No. 216",
  "cell": [[0.000, 3.814, 3.814], [3.814, 0.000, 3.814], [3.814, 3.814, 0.000]],
  "species": ["Ca", "Si", "Si", "Si", "Si", "Br"],
  "fractional_positions": [[0.000, 0.000, 0.000], [0.127, 0.624, 0.624], [0.624, 0.127, 0.624], [0.624, 0.624, 0.127], [0.624, 0.624, 0.624], [0.250, 0.250, 0.250]]
}

{
  "formula": "Er5Ga4Ag",
  "functional": "PBE-GGA",
  "state": "optimized geometry",
  "mass_density_g_cm3": 9.04,
  "sg": "No. 123",
  "energy_ev_per_atom": -4.3034,
  "cell": [[3.533, 0.000, 0.000], [0.000, 3.533, 0.000], [0.000, 0.000, 17.985]],
  "species": ["Er", "Er", "Er", "Er", "Er", "Ga", "Ga", "Ga", "Ga", "Ag"],
  "fractional_positions": [[0.000, 0.000, 0.000], [0.000, 0.000, 0.198], [0.000, 0.000, 0.396], [0.000, 0.000, 0.604], [0.000, 0.000, 0.802], [0.500, 0.500, 0.098], [0.500, 0.500, 0.298], [0.500, 0.500, 0.702], [0.500, 0.500, 0.902], [0.500, 0.500, 0.500]]
}

{
  "formula": "Ga3BiPb2Au12",
  "functional": "PBE-GGA",
  "state": "optimized geometry",
  "mass_density_g_cm3": 12.85,
  "sg": "No. 166",
  "energy_ev_per_atom": -3.2952,
  "cell": [[3.567, 2.059, 9.369], [-3.567, 2.059, 9.369], [0.000, -4.119, 9.369]],
  "species": ["Ga", "Ga", "Ga", "Bi", "Pb", "Pb", "Au", "Au", "Au", "Au", "Au", "Au", "Au", "Au", "Au", "Au", "Au", "Au"],
  "fractional_positions": [[0.000, 0.500, 0.500], [0.500, 0.000, 0.500], [0.500, 0.500, 0.000], [0.500, 0.500, 0.500], [0.138, 0.138, 0.138], [0.862, 0.862, 0.862], [0.059, 0.631, 0.631], [0.090, 0.090, 0.688], [0.090, 0.688, 0.090], [0.312, 0.910, 0.910], [0.369, 0.369, 0.941], [0.369, 0.941, 0.369], [0.631, 0.059, 0.631], [0.631, 0.631, 0.059], [0.688, 0.090, 0.090], [0.910, 0.312, 0.910], [0.910, 0.910, 0.312], [0.941, 0.369, 0.369]]
}

{
  "formula": "Li2Mg4Zn3",
  "functional": "PBE-GGA",
  "state": "optimized geometry",
  "mass_density_g_cm3": 3.23,
  "sg": "No. 12",
  "energy_ev_per_atom": -1.6818,
  "cell": [[4.014, -2.317, 0.000], [4.014, 2.317, 0.000], [-0.010, 0.000, 8.492]],
  "species": ["Li", "Li", "Mg", "Mg", "Mg", "Mg", "Zn", "Zn", "Zn"],
  "fractional_positions": [[0.168, 0.168, 0.232], [0.832, 0.832, 0.768], [0.166, 0.166, 0.891], [0.499, 0.499, 0.672], [0.501, 0.501, 0.328], [0.834, 0.834, 0.109], [0.166, 0.166, 0.551], [0.500, 0.500, 0.000], [0.834, 0.834, 0.449]]
}

{
  "formula": "SrAlCr2",
  "functional": "PBE-GGA",
  "state": "optimized geometry",
  "mass_density_g_cm3": 3.97,
  "sg": "No. 12",
  "energy_ev_per_atom": -5.5007,
  "cell": [[4.374, -1.655, 0.000], [4.374, 1.655, 0.000], [-1.147, 0.000, 6.309]],
  "species": ["Sr", "Al", "Cr", "Cr"],
  "fractional_positions": [[0.000, 0.000, 0.000], [0.500, 0.500, 0.500], [0.229, 0.229, 0.657], [0.771, 0.771, 0.343]]
}